The following is a DFT calculation (PBE-GGA) of a relaxed Rb3PmBr6 crystal.

```
data_Rb3PmBr6
_cell_length_a 8.226
_cell_length_b 8.752
_cell_length_c 11.720
_cell_angle_alpha 90.00
_cell_angle_beta 88.54
_cell_angle_gamma 90.00
_space_group_name_H-M_alt 'P 1'
_space_group_IT_number 1
_space_group_name_Hall 'P 1'
loop_
_atom_site_label
_atom_site_type_symbol
_atom_site_fract_x
_atom_site_fract_y
_atom_site_fract_z
_atom_site_occupancy
Rb1 Rb 0.530 0.925 0.758 1
Rb2 Rb 0.500 0.500 0.000 1
Rb3 Rb 0.470 0.075 0.242 1
Rb4 Rb 0.030 0.575 0.258 1
Rb5 Rb 0.000 0.000 0.500 1
Rb6 Rb 0.970 0.425 0.742 1
Pm1 Pm 0.500 0.500 0.500 1
Pm2 Pm 0.000 0.000 0.000 1
Br1 Br 0.718 0.179 0.944 1
Br2 Br 0.666 0.227 0.577 1
Br3 Br 0.631 0.444 0.273 1
Br4 Br 0.369 0.556 0.727 1
Br5 Br 0.334 0.773 0.423 1
Br6 Br 0.282 0.821 0.056 1
Br7 Br 0.218 0.321 0.444 1
Br8 Br 0.166 0.273 0.077 1
Br9 Br 0.131 0.056 0.773 1
Br10 Br 0.869 0.944 0.227 1
Br11 Br 0.834 0.727 0.923 1
Br12 Br 0.782 0.679 0.556 1
```

Results
Magnetic moment: 0.000 μB/cell
Crystal system: monoclinic
E_tot: -3.608 eV/atom

The following is a DFT calculation (PBE-GGA) of a relaxed La2SmHg2Pb2 crystal.

```
data_La2SmHg2Pb2
_cell_length_a 5.126
_cell_length_b 5.126
_cell_length_c 9.780
_cell_angle_alpha 74.81
_cell_angle_beta 74.81
_cell_angle_gamma 60.00
_space_group_name_H-M_alt 'P 1'
_space_group_IT_number 1
_space_group_name_Hall 'P 1'
loop_
_atom_site_label
_atom_site_type_symbol
_atom_site_fract_x
_atom_site_fract_y
_atom_site_fract_z
_atom_site_occupancy
La1 La 0.132 0.132 0.605 1
La2 La 0.868 0.868 0.395 1
Sm1 Sm 0.000 0.000 0.000 1
Hg1 Hg 0.571 0.571 0.287 1
Hg2 Hg 0.429 0.429 0.713 1
Pb1 Pb 0.724 0.724 0.827 1
Pb2 Pb 0.276 0.276 0.173 1
```

Results
Magnetic moment: 0.000 μB/cell
ΔE_f: -0.299 eV per atom
Crystal system: trigonal
E_tot: -3.527 eV/atom

The following is a DFT calculation (PBE-GGA) of a relaxed Sr2Cd3InSn4 crystal.

```
data_Sr2Cd3InSn4
_cell_length_a 4.940
_cell_length_b 4.940
_cell_length_c 12.140
_cell_angle_alpha 90.00
_cell_angle_beta 90.00
_cell_angle_gamma 90.00
_space_group_name_H-M_alt 'P 1'
_space_group_IT_number 1
_space_group_name_Hall 'P 1'
loop_
_atom_site_label
_atom_site_type_symbol
_atom_site_fract_x
_atom_site_fract_y
_atom_site_fract_z
_atom_site_occupancy
Sr1 Sr 0.500 0.000 0.246 1
Sr2 Sr 0.000 0.500 0.754 1
Cd1 Cd 0.000 0.000 0.500 1
Cd2 Cd 0.500 0.000 0.865 1
Cd3 Cd 0.000 0.500 0.135 1
In1 In 0.500 0.500 0.500 1
Sn1 Sn 0.500 0.500 0.000 1
Sn2 Sn 0.000 0.000 0.000 1
Sn3 Sn 0.500 0.000 0.636 1
Sn4 Sn 0.000 0.500 0.364 1
```

Results
Magnetic moment: 0.000 μB/cell
ΔE_f: -0.304 eV per atom
Crystal system: tetragonal
E_tot: -2.790 eV/atom

The following is a DFT calculation (PBE-GGA) of a relaxed CrWBr2 crystal.

```
data_CrWBr2
_cell_length_a 9.601
_cell_length_b 9.601
_cell_length_c 9.601
_cell_angle_alpha 19.77
_cell_angle_beta 19.77
_cell_angle_gamma 19.77
_space_group_name_H-M_alt 'P 1'
_space_group_IT_number 1
_space_group_name_Hall 'P 1'
loop_
_atom_site_label
_atom_site_type_symbol
_atom_site_fract_x
_atom_site_fract_y
_atom_site_fract_z
_atom_site_occupancy
Br1 Br 0.027 0.027 0.027 1
Br2 Br 0.220 0.220 0.220 1
Cr1 Cr 0.488 0.488 0.488 1
W1 W 0.765 0.765 0.765 1
```

Results
Energy above the lowest structure with this stoichiometry: 42 meV/atom
Magnetic moment: 1.110 μB/cell
Crystal system: trigonal
E_tot: -6.270 eV/atom

The following is a DFT calculation (PBE-GGA) of a relaxed Nd6Dy2Y3Sc crystal.

```
data_Nd6Dy2Y3Sc
_cell_length_a 6.250
_cell_length_b 6.250
_cell_length_c 11.786
_cell_angle_alpha 95.06
_cell_angle_beta 95.06
_cell_angle_gamma 119.99
_space_group_name_H-M_alt 'P 1'
_space_group_IT_number 1
_space_group_name_Hall 'P 1'
loop_
_atom_site_label
_atom_site_type_symbol
_atom_site_fract_x
_atom_site_fract_y
_atom_site_fract_z
_atom_site_occupancy
Nd1 Nd 0.918 0.588 0.754 1
Nd2 Nd 0.751 0.751 0.247 1
Nd3 Nd 0.082 0.412 0.246 1
Nd4 Nd 0.588 0.918 0.754 1
Nd5 Nd 0.249 0.249 0.753 1
Nd6 Nd 0.412 0.082 0.246 1
Dy1 Dy 0.333 0.667 0.000 1
Dy2 Dy 0.667 0.333 0.000 1
Y1 Y 0.167 0.833 0.500 1
Y2 Y 0.833 0.167 0.500 1
Y3 Y 0.500 0.500 0.500 1
Sc1 Sc 0.000 0.000 0.000 1
```

Results
Magnetic moment: 0.000 μB/cell
ΔE_f: 0.022 eV per atom
Crystal system: monoclinic
E_tot: -5.273 eV/atom

The following is a DFT calculation (PBE-GGA) of a relaxed CaLaTeBr crystal.

```
data_CaLaTeBr
_cell_length_a 4.675
_cell_length_b 4.346
_cell_length_c 6.258
_cell_angle_alpha 90.00
_cell_angle_beta 97.05
_cell_angle_gamma 90.00
_space_group_name_H-M_alt 'P 1'
_space_group_IT_number 1
_space_group_name_Hall 'P 1'
loop_
_atom_site_label
_atom_site_type_symbol
_atom_site_fract_x
_atom_site_fract_y
_atom_site_fract_z
_atom_site_occupancy
Ca1 Ca 0.608 0.500 0.406 1
Te1 Te 0.609 0.500 0.907 1
Br1 Br 0.108 0.000 0.409 1
La1 La 0.109 0.000 0.909 1
```

Results
Energy above the lowest structure with this stoichiometry: 37 meV/atom
Magnetic moment: 0.003 μB/cell
Crystal system: monoclinic
E_tot: -4.317 eV/atom

The following is a DFT calculation (PBE-GGA) of a relaxed Li2As2Au crystal.

```
data_Li2As2Au
_cell_length_a 4.134
_cell_length_b 5.043
_cell_length_c 10.295
_cell_angle_alpha 95.09
_cell_angle_beta 78.42
_cell_angle_gamma 65.80
_space_group_name_H-M_alt 'P 1'
_space_group_IT_number 1
_space_group_name_Hall 'P 1'
loop_
_atom_site_label
_atom_site_type_symbol
_atom_site_fract_x
_atom_site_fract_y
_atom_site_fract_z
_atom_site_occupancy
Li1 Li 0.164 0.010 0.662 1
Li2 Li 0.806 0.302 0.087 1
Li3 Li 0.836 0.990 0.338 1
Li4 Li 0.194 0.698 0.913 1
As1 As 0.483 0.629 0.405 1
As2 As 0.502 0.893 0.103 1
As3 As 0.517 0.371 0.595 1
As4 As 0.498 0.107 0.897 1
Au1 Au 0.178 0.362 0.281 1
Au2 Au 0.822 0.638 0.719 1
```

Results
Energy above the lowest structure with this stoichiometry: 0 meV/atom
Magnetic moment: 0.000 μB/cell
ΔE_f: -0.437 eV per atom
Crystal system: monoclinic
E_tot: -3.717 eV/atom

The following is a DFT calculation (PBE-GGA) of a relaxed Li2LaSe crystal.

```
data_Li2LaSe
_cell_length_a 4.196
_cell_length_b 4.196
_cell_length_c 6.153
_cell_angle_alpha 70.06
_cell_angle_beta 70.06
_cell_angle_gamma 60.00
_space_group_name_H-M_alt 'P 1'
_space_group_IT_number 1
_space_group_name_Hall 'P 1'
loop_
_atom_site_label
_atom_site_type_symbol
_atom_site_fract_x
_atom_site_fract_y
_atom_site_fract_z
_atom_site_occupancy
La1 La 0.249 0.249 0.254 1
Li1 Li 0.044 0.044 0.867 1
Li2 Li 0.755 0.755 0.735 1
Se1 Se 0.452 0.452 0.643 1
```

Results
Magnetic moment: 0.672 μB/cell
Crystal system: trigonal
E_tot: -3.851 eV/atom

The following is a DFT calculation (PBE-GGA) of a relaxed Dy5Er4Sc crystal.

```
data_Dy5Er4Sc
_cell_length_a 5.714
_cell_length_b 7.954
_cell_length_c 7.954
_cell_angle_alpha 82.59
_cell_angle_beta 68.95
_cell_angle_gamma 68.95
_space_group_name_H-M_alt 'P 1'
_space_group_IT_number 1
_space_group_name_Hall 'P 1'
loop_
_atom_site_label
_atom_site_type_symbol
_atom_site_fract_x
_atom_site_fract_y
_atom_site_fract_z
_atom_site_occupancy
Dy1 Dy 0.772 0.374 0.000 1
Dy2 Dy 0.145 0.000 0.626 1
Dy3 Dy 0.772 0.000 0.374 1
Dy4 Dy 0.145 0.626 0.000 1
Dy5 Dy 0.675 0.000 0.000 1
Er1 Er 0.448 0.323 0.677 1
Er2 Er 0.772 0.677 0.677 1
Er3 Er 0.125 0.323 0.323 1
Er4 Er 0.448 0.677 0.323 1
Sc1 Sc 0.207 0.000 0.000 1
```

Results
Energy above the lowest structure with this stoichiometry: 131 meV/atom
Magnetic moment: 0.003 μB/cell
ΔE_f: 0.244 eV per atom
Crystal system: tetragonal
E_tot: -4.515 eV/atom

The following is a DFT calculation (PBE-GGA) of a relaxed Pm2Al4Ni3Ir crystal.

```
data_Pm2Al4Ni3Ir
_cell_length_a 4.181
_cell_length_b 4.181
_cell_length_c 9.971
_cell_angle_alpha 90.00
_cell_angle_beta 90.00
_cell_angle_gamma 90.00
_space_group_name_H-M_alt 'P 1'
_space_group_IT_number 1
_space_group_name_Hall 'P 1'
loop_
_atom_site_label
_atom_site_type_symbol
_atom_site_fract_x
_atom_site_fract_y
_atom_site_fract_z
_atom_site_occupancy
Pm1 Pm 0.500 0.000 0.252 1
Pm2 Pm 0.000 0.500 0.748 1
Al1 Al 0.500 0.500 0.000 1
Al2 Al 0.000 0.000 0.000 1
Al3 Al 0.500 0.000 0.629 1
Al4 Al 0.000 0.500 0.371 1
Ni1 Ni 0.000 0.000 0.500 1
Ni2 Ni 0.500 0.000 0.871 1
Ni3 Ni 0.000 0.500 0.129 1
Ir1 Ir 0.500 0.500 0.500 1
```

Results
Magnetic moment: 0.000 μB/cell
ΔE_f: -0.642 eV per atom
Crystal system: tetragonal
E_tot: -5.710 eV/atom

Question: Which value of E_tot does entry 3 give?
Answer: -2.790 eV/atom

Question: Look up the magnetic moment of the third one.
Answer: 0.000 μB/cell